Record 1
NaMn2OsAu | PBE | optimized geometry

Summary:
**Formation enthalpy at 0 K**: 10.10 eV per formula unit

Cell: 4.5119 4.5119 4.6336 Å, 90.00 90.00 90.00°
Space group P4/mmm (No. 123)
Inequivalent atoms, fractional coordinates:
Na (0.0000, 0.0000, 0.0000)
Mn (0.0000, 0.5000, 0.0000)
Os (0.0000, 0.0000, 0.5000)
Au (0.5000, 0.5000, 0.5000)

---

Record 2
NaMnPdAu2 | PBE | optimized geometry

Summary:
**Formation enthalpy at 0 K**: 5.66 eV per formula unit

Cell: 4.7802 4.7802 4.7440 Å, 90.00 90.00 90.00°
Space group P4/mmm (No. 123)
Inequivalent atoms, fractional coordinates:
Na (0.0000, 0.0000, 0.0000)
Mn (0.0000, 0.0000, 0.5000)
Pd (0.5000, 0.5000, 0.5000)
Au (0.0000, 0.5000, 0.0000)

---

Record 3
RbNaMnAu2 | PBE | optimized geometry

Summary:
**Formation enthalpy at 0 K**: 2.88 eV per formula unit

Cell: 5.5176 5.5176 5.3663 Å, 90.00 90.00 90.00°
Space group P4/mmm (No. 123)
Inequivalent atoms, fractional coordinates:
Rb (0.0000, 0.0000, 0.0000)
Na (0.5000, 0.5000, 0.5000)
Mn (0.5000, 0.5000, 0.0000)
Au (0.0000, 0.5000, 0.5000)

---

Record 4
NaMnRhAu2 | PBE | optimized geometry

Summary:
**Formation enthalpy at 0 K**: 5.18 eV per formula unit

Cell: 4.8353 4.8353 4.8373 Å, 90.00 90.00 90.00°
Space group P4/mmm (No. 123)
Inequivalent atoms, fractional coordinates:
Na (0.0000, 0.0000, 0.0000)
Mn (0.0000, 0.0000, 0.5000)
Rh (0.5000, 0.5000, 0.0000)
Au (0.0000, 0.5000, 0.5000)

---

Record 5
NaZrMn2Au | PBE | optimized geometry

Summary:
**Formation enthalpy at 0 K**: 10.07 eV per formula unit

Cell: 4.3577 4.3577 4.8006 Å, 90.00 90.00 90.00°
Space group P4/mmm (No. 123)
Inequivalent atoms, fractional coordinates:
Na (0.0000, 0.0000, 0.0000)
Zr (0.0000, 0.0000, 0.5000)
Mn (0.0000, 0.5000, 0.0000)
Au (0.5000, 0.5000, 0.5000)

---

Record 6
NaZr2MnAu | PBE | optimized geometry

Summary:
**Formation enthalpy at 0 K**: 3.78 eV per formula unit

Cell: 5.2736 5.2736 5.0184 Å, 90.00 90.00 90.00°
Space group P4/mmm (No. 123)
Inequivalent atoms, fractional coordinates:
Na (0.0000, 0.0000, 0.0000)
Zr (0.0000, 0.5000, 0.5000)
Mn (0.5000, 0.5000, 0.0000)
Au (0.5000, 0.5000, 0.5000)

---

Record 7
MnNb3Au | PBE | optimized geometry

Summary:
**Formation enthalpy at 0 K**: 3.04 eV per formula unit

Cell: 4.5778 4.5778 4.5778 Å, 90.00 90.00 90.00°
Space group Pm-3m (No. 221)
Inequivalent atoms, fractional coordinates:
Mn (0.0000, 0.0000, 0.0000)
Nb (0.0000, 0.0000, 0.5000)
Au (0.5000, 0.5000, 0.5000)

---

Record 8
Mn2NbAu2 | PBE | optimized geometry

Summary:
**Formation enthalpy at 0 K**: 0.71 eV per formula unit

Cell: 7.3639 7.3639 3.1020 Å, 90.00 90.00 90.00°
Space group P4/mbm (No. 127)
Inequivalent atoms, fractional coordinates:
Mn (0.1470, 0.3530, 0.0000)
Nb (0.0000, 0.0000, 0.0000)
Au (0.1518, 0.6518, 0.5000)

---

no.,electronic total energy (eV/cell)
1,-24.068
2,-16.574
3,-15.126
4,-19.211
5,-21.409
6,-27.077
7,-39.612
8,-68.509